[1]
Entry from Alexandria via LeMat-Bulk: a relaxed LiNi2 crystal (PBE).

## Properties
Total magnetic moment   0.274 μB/atom
D(E_F)   1.88 states/eV/atom
Uncorrected energy   -39.92 eV for the cell shown
Energy of formation from the pure elements   0.06 eV/atom
Density   6.3 g/cm³

a = 6.8831 Å, b = 6.8831 Å, c = 2.4041 Å
α = 90.00°, β = 90.00°, γ = 120.00°
Space group P-62m (No. 189)
Asymmetric unit:
Li 0.0000 0.0000 0.0000 [1 per cell]
Li 0.3333 0.6667 0.5000 [2 per cell]
Ni 0.0000 0.3166 0.5000 [3 per cell]
Ni 0.0000 0.6510 0.0000 [3 per cell]

[2]
Entry from Alexandria via LeMat-Bulk: a relaxed LiNpNi2 crystal (PBE).

## Properties
Total magnetic moment   0.833 μB/atom
D(E_F)   1.78 states/eV/atom
Uncorrected energy   -26.03 eV for the cell shown
Energy of formation from the pure elements   0.10 eV/atom
Density   10.4 g/cm³

a = 3.0400 Å, b = 3.0400 Å, c = 6.2283 Å
α = 90.00°, β = 90.00°, γ = 90.00°
Space group P4/mmm (No. 123)
Asymmetric unit:
Li 0.0000 0.0000 0.0000 [1 per cell]
Np 0.0000 0.0000 0.5000 [1 per cell]
Ni 0.5000 0.5000 0.2095 [2 per cell]

[3]
Entry from Alexandria via LeMat-Bulk: a relaxed LiNp3Ni8 crystal (PBE).

## Properties
Total magnetic moment   0.861 μB/atom
D(E_F)   2.19 states/eV/atom
Uncorrected energy   -265.91 eV for the cell shown
Energy of formation from the pure elements   -0.14 eV/atom
Density   11.6 g/cm³

a = 4.9347 Å, b = 4.9347 Å, c = 24.1671 Å
α = 90.00°, β = 90.00°, γ = 120.00°
Space group R3m (No. 160, hexagonal axes)
Asymmetric unit:
Li 0.0000 0.0000 0.0000 [3 per cell]
Np 0.0000 0.0000 0.1242 [3 per cell]
Np 0.0000 0.0000 0.5010 [3 per cell]
Np 0.0000 0.0000 0.6265 [3 per cell]
Ni 0.0000 0.0000 0.3132 [3 per cell]
Ni 0.0000 0.0000 0.8125 [3 per cell]
Ni 0.0015 0.5008 0.5645 [9 per cell]
Ni 0.1672 0.3344 0.3941 [9 per cell]

[4]
Entry from Alexandria via LeMat-Bulk: a relaxed LiNpNi10 crystal (PBE).

## Properties
Total magnetic moment   0.062 μB/atom
D(E_F)   1.62 states/eV/atom
Uncorrected energy   -72.81 eV for the cell shown
Energy of formation from the pure elements   -0.01 eV/atom
Density   8.8 g/cm³

a = 3.9715 Å, b = 4.7857 Å, c = 8.2483 Å
α = 90.00°, β = 90.00°, γ = 90.00°
Space group Pmmm (No. 47)
Asymmetric unit:
Li 0.0000 0.0000 0.0000 [1 per cell]
Np 0.0000 0.5000 0.5000 [1 per cell]
Ni 0.0000 0.0000 0.3246 [2 per cell]
Ni 0.0000 0.5000 0.1628 [2 per cell]
Ni 0.5000 0.0000 0.5000 [1 per cell]
Ni 0.5000 0.2529 0.2508 [4 per cell]
Ni 0.5000 0.5000 0.0000 [1 per cell]

[5]
Entry from Alexandria via LeMat-Bulk: a relaxed Li2Np2Ni15 crystal (PBE).

## Properties
Total magnetic moment   0.102 μB/atom
D(E_F)   1.73 states/eV/atom
Uncorrected energy   -354.81 eV for the cell shown
Energy of formation from the pure elements   -0.10 eV/atom
Density   9.5 g/cm³

a = 8.2922 Å, b = 8.2922 Å, c = 12.0894 Å
α = 90.00°, β = 90.00°, γ = 120.00°
Space group R-3m (No. 166, hexagonal axes)
Asymmetric unit:
Li 0.0000 0.0000 0.0923 [6 per cell]
Np 0.0000 0.0000 0.3440 [6 per cell]
Ni 0.0000 0.3120 0.0000 [18 per cell]
Ni 0.0000 0.5000 0.5000 [9 per cell]
Ni 0.0027 0.5013 0.1578 [18 per cell]